Below is a relaxed Ba4NaSr crystal, with properties calculated at the PBE level.

Structure (POSCAR):
```
Ba4NaSr
1.0
4.180 0.000 0.000
2.090 6.972 -0.035
2.090 0.810 12.279
Ba Na Sr
4 1 1
direct
0.655 0.534 0.156 Ba
0.345 0.466 0.844 Ba
0.162 0.014 0.663 Ba
0.838 0.986 0.337 Ba
0.000 0.000 0.000 Na
0.500 0.500 0.500 Sr
```

ΔE to the lowest computed polymorph: 7.8 kJ/mol of atoms
density of states at the Fermi level: 7.9 states/eV per cell
DFT formation energy: 0.098 eV per atom

=====

Below is a relaxed BaNaSr crystal, with properties calculated at the PBE level.

Structure (POSCAR):
```
BaNaSr
1.0
8.840 0.000 0.000
0.000 8.840 0.000
0.000 0.000 8.840
Sr Na Ba
4 4 4
direct
0.350 0.650 0.150 Sr
0.150 0.350 0.650 Sr
0.650 0.150 0.350 Sr
0.850 0.850 0.850 Sr
0.488 0.488 0.488 Na
0.012 0.512 0.988 Na
0.988 0.012 0.512 Na
0.512 0.988 0.012 Na
0.150 0.150 0.150 Ba
0.650 0.350 0.850 Ba
0.350 0.850 0.650 Ba
0.850 0.650 0.350 Ba
```

ΔE to the lowest computed polymorph: 18.4 kJ/mol of atoms
density of states at the Fermi level: 17.6 states/eV per cell
DFT formation energy: 0.205 eV per atom

=====

Below is a relaxed BaNa5Sr2 crystal, with properties calculated at the PBE level.

Structure (POSCAR):
```
BaNa5Sr2
1.0
1.412 -7.674 0.323
4.783 3.724 4.924
-7.422 1.356 2.016
Ba Na Sr
1 5 2
direct
0.000 0.192 0.192 Ba
0.468 0.710 0.710 Na
0.000 0.241 0.710 Na
0.000 0.710 0.241 Na
0.532 0.241 0.241 Na
0.000 0.727 0.727 Na
0.500 0.228 0.728 Sr
0.500 0.728 0.228 Sr
```

ΔE to the lowest computed polymorph: 1.2 kJ/mol of atoms
density of states at the Fermi level: 6.5 states/eV per cell
DFT formation energy: 0.044 eV per atom

=====

Below is a relaxed Ba6Na2Sr crystal, with properties calculated at the PBE level.

Structure (POSCAR):
```
Ba6Na2Sr
1.0
-4.317 -0.173 1.587
-2.280 -7.978 -0.396
2.689 -5.536 13.393
Ba Na Sr
6 2 1
direct
0.673 0.534 0.119 Ba
0.327 0.466 0.881 Ba
0.316 0.782 0.586 Ba
0.979 0.704 0.338 Ba
0.021 0.296 0.662 Ba
0.684 0.218 0.414 Ba
0.348 0.104 0.199 Na
0.652 0.896 0.801 Na
0.000 0.000 0.000 Sr
```

ΔE to the lowest computed polymorph: 0.0 kJ/mol of atoms
density of states at the Fermi level: 12.7 states/eV per cell
DFT formation energy: 0.027 eV per atom

=====

Below is a relaxed Ba2NaSr crystal, with properties calculated at the PBE level.

Structure (POSCAR):
```
Ba2NaSr
1.0
-1.876 -4.276 0.095
4.185 -1.814 1.002
-1.943 1.076 10.069
Sr Ba Na
1 2 1
direct
0.500 0.500 0.500 Sr
0.000 0.000 0.774 Ba
0.000 0.000 0.226 Ba
0.500 0.500 0.000 Na
```

ΔE to the lowest computed polymorph: 0.0 kJ/mol of atoms
density of states at the Fermi level: 5.1 states/eV per cell
DFT formation energy: 0.016 eV per atom

=====

Below is a relaxed BaNa2Sr6 crystal, with properties calculated at the PBE level.

Structure (POSCAR):
```
BaNa2Sr6
1.0
-3.333 2.955 0.639
-5.724 -3.900 4.023
2.354 3.130 13.655
Ba Na Sr
1 2 6
direct
0.000 0.000 0.000 Ba
0.342 0.095 0.220 Na
0.658 0.905 0.780 Na
0.681 0.514 0.124 Sr
0.319 0.486 0.876 Sr
0.322 0.781 0.576 Sr
0.985 0.691 0.339 Sr
0.015 0.309 0.661 Sr
0.678 0.219 0.424 Sr
```

ΔE to the lowest computed polymorph: 0.0 kJ/mol of atoms
density of states at the Fermi level: 7.8 states/eV per cell
DFT formation energy: 0.013 eV per atom

=====

Below is a relaxed Ba5Na2Sr5 crystal, with properties calculated at the PBE level.

Structure (POSCAR):
```
Ba5Na2Sr5
1.0
-1.667 -0.855 -6.489
7.229 -6.807 -4.475
-3.802 -9.937 -1.230
Ba Na Sr
5 2 5
direct
0.500 0.500 0.500 Ba
0.404 0.269 0.922 Ba
0.334 0.995 0.338 Ba
0.666 0.005 0.662 Ba
0.596 0.731 0.078 Ba
0.844 0.505 0.807 Na
0.156 0.495 0.193 Na
0.921 0.741 0.416 Sr
0.250 0.732 0.767 Sr
0.750 0.268 0.233 Sr
0.079 0.259 0.584 Sr
0.000 0.000 0.000 Sr
```

ΔE to the lowest computed polymorph: 0.0 kJ/mol of atoms
density of states at the Fermi level: 15.3 states/eV per cell
DFT formation energy: 0.028 eV per atom

=====

Below is a relaxed Ba8Na2Sr3 crystal, with properties calculated at the PBE level.

Structure (POSCAR):
```
Ba8Na2Sr3
1.0
-3.963 2.976 -6.164
-5.547 -9.885 -1.206
-3.229 7.564 6.719
Ba Na Sr
8 2 3
direct
0.886 0.599 0.197 Ba
0.114 0.401 0.803 Ba
0.812 0.194 0.387 Ba
0.188 0.806 0.613 Ba
0.574 0.566 0.756 Ba
0.574 0.189 0.756 Ba
0.426 0.811 0.244 Ba
0.426 0.434 0.244 Ba
0.302 0.197 0.394 Na
0.698 0.803 0.606 Na
0.500 0.000 0.000 Sr
0.000 0.171 0.000 Sr
0.000 0.829 0.000 Sr
```

ΔE to the lowest computed polymorph: 7.8 kJ/mol of atoms
density of states at the Fermi level: 19.9 states/eV per cell
DFT formation energy: 0.126 eV per atom

=====

Below is a relaxed Ba4NaSr8 crystal, with properties calculated at the PBE level.

Structure (POSCAR):
```
Ba4NaSr8
1.0
6.664 0.000 1.443
3.142 5.834 1.596
-0.510 -0.830 18.458
Ba Na Sr
4 1 8
direct
0.362 0.849 0.426 Ba
0.901 0.389 0.810 Ba
0.131 0.614 0.124 Ba
0.669 0.155 0.507 Ba
0.516 0.002 0.967 Na
0.054 0.540 0.352 Sr
0.442 0.926 0.191 Sr
0.590 0.078 0.743 Sr
0.977 0.464 0.582 Sr
0.748 0.233 0.270 Sr
0.206 0.694 0.894 Sr
0.283 0.770 0.664 Sr
0.826 0.309 0.040 Sr
```

density of states at the Fermi level: 17.1 states/eV per cell
DFT formation energy: 0.023 eV per atom

=====

Below is a relaxed Ba6NaSr5 crystal, with properties calculated at the PBE level.

Structure (POSCAR):
```
Ba6NaSr5
1.0
6.098 -0.007 -1.711
-4.358 10.029 -3.832
-0.045 -0.070 11.587
Na Ba Sr
1 6 5
direct
0.000 0.000 0.000 Na
0.241 0.076 0.405 Ba
0.759 0.595 0.924 Ba
0.730 0.230 0.230 Ba
0.270 0.770 0.770 Ba
0.241 0.405 0.076 Ba
0.759 0.924 0.595 Ba
0.500 0.177 0.823 Sr
0.000 0.341 0.659 Sr
0.500 0.500 0.500 Sr
0.000 0.659 0.341 Sr
0.500 0.823 0.177 Sr
```

density of states at the Fermi level: 15.3 states/eV per cell
DFT formation energy: 0.021 eV per atom

=====

Below is a relaxed Ba3Na8Sr2 crystal, with properties calculated at the PBE level.

Structure (POSCAR):
```
Ba3Na8Sr2
1.0
-3.814 3.500 -4.798
-0.360 -2.375 -6.637
-13.555 -7.910 -0.188
Ba Na Sr
3 8 2
direct
0.000 0.000 0.000 Ba
0.232 0.232 0.305 Ba
0.768 0.768 0.695 Ba
0.313 0.313 0.061 Na
0.687 0.687 0.939 Na
0.299 0.813 0.589 Na
0.813 0.299 0.589 Na
0.299 0.299 0.589 Na
0.187 0.701 0.411 Na
0.701 0.187 0.411 Na
0.701 0.701 0.411 Na
0.394 0.394 0.819 Sr
0.606 0.606 0.181 Sr
```

density of states at the Fermi level: 13.5 states/eV per cell
DFT formation energy: 0.137 eV per atom

=====

Below is a relaxed Ba2Na5Sr crystal, with properties calculated at the PBE level.

Structure (POSCAR):
```
Ba2Na5Sr
1.0
6.407 0.000 0.000
0.000 6.407 0.000
-3.204 -3.204 9.128
Ba Na Sr
2 5 1
direct
0.746 0.746 0.492 Ba
0.254 0.254 0.508 Ba
0.500 0.500 0.000 Na
0.887 0.387 0.773 Na
0.387 0.887 0.773 Na
0.113 0.613 0.227 Na
0.613 0.113 0.227 Na
0.000 0.000 0.000 Sr
```

density of states at the Fermi level: 6.1 states/eV per cell
DFT formation energy: 0.029 eV per atom